# 1
BaIn2Se, optimized geometry, DFT PBE; D(E_F) = 4.345 states/eV/cell; total moment = 0.00 μB per formula unit; theoretical density = 5.5 g/cm³; energy relative to the elements, uncorrected = -0.57 eV/atom; total DFT energy (no corrections) = -3.29 eV/atom
1.0
-8.6755 -1.5037 2.3456
0.1605 -7.9280 -4.4888
-3.2633 -6.2286 1.6358
In Ba Se
4 2 2
direct
0.5748 0.1250 0.2500
0.3750 0.4252 0.7500
0.8750 0.8248 0.7500
0.1752 0.6250 0.2500
0.7500 0.2500 0.5000
0.0000 0.0000 0.0000
0.2500 0.7500 0.5000
0.5000 0.5000 0.0000

---

# 2
CdOsBr2, optimized geometry, DFT PBE; D(E_F) = 3.240 states/eV/cell; energy relative to the lowest polymorph listed for this composition = 293.7 meV per atom; total moment = 0.00 μB per formula unit; theoretical density = 8.4 g/cm³; energy relative to the elements, uncorrected = 0.53 eV/atom; total DFT energy (no corrections) = -3.35 eV/atom
1.0
-8.5073 5.4330 5.2592
-6.8234 4.8113 7.7359
-6.2441 7.3188 6.0826
Os Cd Br
1 1 2
direct
0.0000 0.0000 0.0000
0.5000 0.5000 0.5000
0.9298 0.9298 0.9298
0.0702 0.0702 0.0702

---

# 3
Na3Mg2H6, optimized geometry, DFT PBE; D(E_F) = 1.339 states/eV/cell; total moment = 0.51 μB per formula unit; theoretical density = 1.4 g/cm³; total DFT energy (no corrections) = -2.59 eV/atom
1.0
-1.9979 2.2733 -2.4619
-1.7366 -3.1537 -1.5029
-5.0098 1.2231 8.2861
Mg H Na
2 6 3
direct
0.5933 0.5933 0.1865
0.4067 0.4067 0.8135
0.3032 0.3032 0.6064
0.4121 0.9121 0.8243
0.0879 0.5879 0.1757
0.6968 0.6968 0.3936
0.9121 0.4121 0.8243
0.5879 0.0879 0.1757
0.1856 0.1856 0.3712
0.8144 0.8144 0.6288
0.0000 0.0000 0.0000

---

# 4
Tb2PrHo2, optimized geometry, DFT PBE; calculated formation energy = 0.510 eV per atom; D(E_F) = 17.188 states/eV/cell; energy relative to the lowest polymorph listed for this composition = 427.9 meV per atom; total moment = 0.00 μB per formula unit; theoretical density = 7.1 g/cm³; total DFT energy (no corrections) = -4.13 eV/atom
1.0
-3.8558 2.3467 4.5998
-1.4658 -1.6741 -6.0482
0.3731 -10.9293 4.2107
Tb Ho Pr
4 4 2
direct
0.0802 0.9198 0.5000
0.1698 0.8302 0.0000
0.4198 0.5802 0.5000
0.8302 0.1698 0.0000
0.1250 0.3750 0.7500
0.6250 0.3750 0.2500
0.6250 0.3750 0.7500
0.6250 0.8750 0.2500
0.7500 0.2500 0.5000
0.5000 0.5000 0.0000

---

# 5
TlGeBrCl2, optimized geometry, DFT PBE; D(E_F) = 0.003 states/eV/cell; energy relative to the lowest polymorph listed for this composition = 19.9 meV per atom; total moment = 0.00 μB per formula unit; theoretical density = 4.7 g/cm³; energy relative to the elements, uncorrected = -0.80 eV/atom; total DFT energy (no corrections) = -3.27 eV/atom
1.0
5.2361 0.0000 0.0000
0.0000 5.2361 0.0000
0.0000 0.0000 5.5665
Cl Ge Br Tl
2 1 1 1
direct
0.0000 0.5000 0.0000
0.5000 0.0000 0.0000
0.0000 0.0000 0.0000
0.0000 0.0000 0.5000
0.5000 0.5000 0.5000

---

# 6
TcNi2W, optimized geometry, DFT PBE; calculated formation energy = -0.011 eV per atom; D(E_F) = 4.596 states/eV/cell; energy relative to the lowest polymorph listed for this composition = 17.5 meV per atom; total moment = 0.00 μB per formula unit; theoretical density = 12.7 g/cm³; total DFT energy (no corrections) = -8.73 eV/atom
1.0
3.6871 0.0000 0.0000
0.0000 3.6839 0.0000
0.0000 0.0000 3.8452
Ni Tc W
2 1 1
direct
0.5000 0.5000 0.0000
0.0000 0.0000 0.0000
0.5000 0.0000 0.5000
0.0000 0.5000 0.5000

---

# 7
Sc2UC3, optimized geometry, DFT PBE; calculated formation energy = -0.420 eV per atom; D(E_F) = 2.058 states/eV/cell; total moment = 0.00 μB per formula unit; theoretical density = 7.3 g/cm³; total DFT energy (no corrections) = -9.02 eV/atom
1.0
-0.5347 -0.7321 -3.3481
4.6561 0.1079 -0.7671
-1.7754 -4.6328 3.0934
U Sc C
1 2 3
direct
0.5000 0.5000 0.5000
0.1680 0.1680 0.8361
0.8320 0.8320 0.1639
0.8459 0.3459 0.1919
0.1541 0.6541 0.8081
0.5000 0.0000 0.5000

---

# 8
K2CeTlI8, optimized geometry, DFT PBE; D(E_F) = 3.722 states/eV/cell; total moment = 0.16 μB per formula unit; theoretical density = 4.4 g/cm³; energy relative to the elements, uncorrected = -1.05 eV/atom; total DFT energy (no corrections) = -2.96 eV/atom
1.0
-8.1129 0.0222 2.6477
-0.5889 -6.3995 -1.7104
2.9189 -5.3511 7.9997
I K Ce Tl
8 2 1 1
direct
0.7141 0.8049 0.8973
0.2193 0.8049 0.8393
0.0436 0.6532 0.2733
0.4945 0.2476 0.4974
0.7807 0.1951 0.1607
0.9564 0.3468 0.7267
0.5055 0.7524 0.5026
0.2859 0.1951 0.1027
0.5389 0.3388 0.8180
0.4611 0.6612 0.1820
0.0000 0.0000 0.0000
0.0000 0.0000 0.5000

---

# 9
Tm6As5Br, optimized geometry, DFT PBE; D(E_F) = 2.353 states/eV/cell; total moment = 0.00 μB per formula unit; theoretical density = 8.5 g/cm³; energy relative to the elements, uncorrected = -1.47 eV/atom; total DFT energy (no corrections) = -5.78 eV/atom
1.0
-3.7953 -0.4837 5.9087
-2.0973 -6.6868 0.9066
4.0349 -4.5081 3.6233
As Tm Br
5 6 1
direct
0.0000 0.6679 0.6642
0.5000 0.1595 0.6809
0.5000 0.5000 0.0000
0.0000 0.3321 0.3358
0.5000 0.8405 0.3191
0.7385 0.0877 0.3532
0.7385 0.4408 0.6468
0.2615 0.9123 0.6468
0.7420 0.7333 0.0000
0.2615 0.5592 0.3532
0.2580 0.2667 0.0000
0.0000 0.0000 0.0000

---

# 10
CaErRu2O8, optimized geometry, DFT PBE; D(E_F) = 5.709 states/eV/cell; total moment = 3.01 μB per formula unit; theoretical density = 4.4 g/cm³; energy relative to the elements, uncorrected = -1.63 eV/atom; total DFT energy (no corrections) = -7.03 eV/atom
1.0
-0.3076 5.6569 -1.5185
-3.0312 -4.0149 -3.0155
-5.2611 0.8351 4.1766
Ru O Er Ca
2 8 1 1
direct
0.6667 0.3333 0.1973
0.3333 0.6667 0.8027
0.3333 0.6667 0.0630
0.8401 0.6796 0.2756
0.6796 0.8395 0.7244
0.1605 0.8401 0.7244
0.6667 0.3333 0.9370
0.8395 0.1599 0.2756
0.1599 0.3204 0.7244
0.3204 0.1605 0.2756
0.0000 0.0000 0.5000
0.0000 0.0000 0.0000

---

# 11
HoPu4Se6, optimized geometry, DFT PBE; D(E_F) = 97.613 states/eV/cell; total moment = 0.10 μB per formula unit; theoretical density = 9.2 g/cm³; energy relative to the elements, uncorrected = -1.51 eV/atom; total DFT energy (no corrections) = -9.04 eV/atom
1.0
4.0368 0.0000 0.0000
-2.0184 6.8358 0.0000
0.0000 0.0000 21.0580
Se Pu Ho
12 8 2
direct
0.0534 0.1068 0.1689
0.5000 0.0000 0.5000
0.7721 0.5442 0.4122
0.3014 0.6029 0.2500
0.2279 0.4558 0.9122
0.2279 0.4558 0.5878
0.9466 0.8932 0.8311
0.5000 0.0000 0.0000
0.7721 0.5442 0.0878
0.6986 0.3971 0.7500
0.0534 0.1068 0.3311
0.9466 0.8932 0.6689
0.4100 0.8200 0.3689
0.1389 0.2778 0.4604
0.1389 0.2778 0.0396
0.5900 0.1800 0.6311
0.8611 0.7222 0.5396
0.8611 0.7222 0.9604
0.4100 0.8200 0.1311
0.5900 0.1800 0.8689
0.6520 0.3039 0.2500
0.3480 0.6961 0.7500

---

# 12
TmIn4, optimized geometry, DFT PBE; calculated formation energy = 0.512 eV per atom; D(E_F) = 4.705 states/eV/cell; energy relative to the lowest polymorph listed for this composition = 410.2 meV per atom; total moment = 0.00 μB per formula unit; theoretical density = 5.3 g/cm³; total DFT energy (no corrections) = -2.57 eV/atom
1.0
5.8255 0.0000 0.0000
0.0000 5.8255 0.0000
0.0000 0.0000 5.8255
In Tm
4 1
direct
0.0000 0.0000 0.0000
0.5000 0.0000 0.5000
0.5000 0.5000 0.0000
0.0000 0.5000 0.5000
0.5000 0.5000 0.5000